Record 1
The following is a GGA-PBE calculation of a relaxed structure of CrCu2Pt, from Alexandria via LeMat-Bulk.

## Properties
Energy of formation from the pure elements = -0.383 kcal/mol of atoms

CIF file:
```
data_CrCu2Pt
_symmetry_space_group_name_H-M 'P m m 2'
_symmetry_Int_Tables_number 25
_cell_length_a 2.7856
_cell_length_b 3.6264
_cell_length_c 5.3691
_cell_angle_alpha 90.00
_cell_angle_beta 90.00
_cell_angle_gamma 90.00
loop_
_symmetry_equiv_pos_as_xyz
'x,y,z'
'-x,-y,z'
'-x,y,z'
'x,-y,z'
loop_
_atom_site_label
_atom_site_fract_x
_atom_site_fract_y
_atom_site_fract_z
_atom_site_occupancy
Cr1 0.0000 0.0000 0.0000 1
Cu1 0.0000 0.0000 0.4847 1
Cu2 0.5000 0.5000 0.2620 1
Pt1 0.5000 0.5000 0.7555 1
```

***

Record 2
The following is a GGA-PBE calculation of a relaxed structure of CrCu2Pt, from Alexandria via LeMat-Bulk.

## Properties
Energy of formation from the pure elements = 2.839 kcal/mol of atoms

CIF file:
```
data_CrCu2Pt
_symmetry_space_group_name_H-M 'R -3 m'
_symmetry_Int_Tables_number 166
_symmetry_space_group_name_Hall '-R 3 2"'
_cell_length_a 2.6561
_cell_length_b 2.6561
_cell_length_c 25.7308
_cell_angle_alpha 90.00
_cell_angle_beta 90.00
_cell_angle_gamma 120.00
loop_
_atom_site_label
_atom_site_fract_x
_atom_site_fract_y
_atom_site_fract_z
_atom_site_occupancy
Cr1 0.0000 0.0000 0.0000 1
Cu1 0.0000 0.0000 0.2528 1
Pt1 0.0000 0.0000 0.5000 1
```

***

Record 3
The following is a GGA-PBE calculation of a relaxed structure of CrCuPt2, from Alexandria via LeMat-Bulk.

## Properties
Energy of formation from the pure elements = -2.183 kcal/mol of atoms

CIF file:
```
data_CrCuPt2
_symmetry_space_group_name_H-M 'C 1 2/m 1'
_symmetry_Int_Tables_number 12
_cell_length_a 8.7445
_cell_length_b 2.8288
_cell_length_c 4.7714
_cell_angle_alpha 90.00
_cell_angle_beta 101.45
_cell_angle_gamma 90.00
loop_
_symmetry_equiv_pos_as_xyz
'x,y,z'
'-x,-y,-z'
'-x,y,-z'
'x,-y,z'
'x+1/2,y+1/2,z'
'-x+1/2,-y+1/2,-z'
'-x+1/2,y+1/2,-z'
'x+1/2,-y+1/2,z'
loop_
_atom_site_label
_atom_site_fract_x
_atom_site_fract_y
_atom_site_fract_z
_atom_site_occupancy
Cr1 0.0000 0.0000 0.0000 1
Cu1 0.0000 0.5000 0.5000 1
Pt1 0.2484 0.5000 0.2499 1
```

***

Record 4
The following is a GGA-PBE calculation of a relaxed structure of Cr2CuPt2, from Alexandria via LeMat-Bulk.

## Properties
Excess energy over the best structure of this formula in the dataset = 0 meV per atom
Energy of formation from the pure elements = 2.311 kcal/mol of atoms

CIF file:
```
data_Cr2CuPt2
_symmetry_space_group_name_H-M 'P 4/m b m'
_symmetry_Int_Tables_number 127
_symmetry_space_group_name_Hall '-P 4 2ab'
_cell_length_a 7.3451
_cell_length_b 7.3451
_cell_length_c 2.6729
_cell_angle_alpha 90.00
_cell_angle_beta 90.00
_cell_angle_gamma 90.00
loop_
_atom_site_label
_atom_site_fract_x
_atom_site_fract_y
_atom_site_fract_z
_atom_site_occupancy
Cr1 0.1089 0.3911 0.0000 1
Cu1 0.0000 0.0000 0.0000 1
Pt1 0.1808 0.6808 0.5000 1
```

***

Record 5
The following is a GGA-PBE calculation of a relaxed structure of CrCuPt2, from Alexandria via LeMat-Bulk.

## Properties
Energy of formation from the pure elements = 0.294 kcal/mol of atoms

CIF file:
```
data_CrCuPt2
_symmetry_space_group_name_H-M 'F -4 3 m'
_symmetry_Int_Tables_number 216
_symmetry_space_group_name_Hall 'F -4 2 3'
_cell_length_a 6.1847
_cell_length_b 6.1847
_cell_length_c 6.1847
_cell_angle_alpha 90.00
_cell_angle_beta 90.00
_cell_angle_gamma 90.00
loop_
_atom_site_label
_atom_site_fract_x
_atom_site_fract_y
_atom_site_fract_z
_atom_site_occupancy
Cr1 0.0000 0.0000 0.0000 1
Cu1 0.2500 0.2500 0.7500 1
Pt1 0.0000 0.0000 0.5000 1
Pt2 0.2500 0.2500 0.2500 1
```

***

Record 6
The following is a GGA-PBE calculation of a relaxed structure of CrCuPt2, from Alexandria via LeMat-Bulk.

## Properties
Energy of formation from the pure elements = -0.491 kcal/mol of atoms

CIF file:
```
data_CrCuPt2
_symmetry_space_group_name_H-M 'R 3 m'
_symmetry_Int_Tables_number 160
_symmetry_space_group_name_Hall 'R 3 -2"'
_cell_length_a 2.7140
_cell_length_b 2.7140
_cell_length_c 26.3233
_cell_angle_alpha 90.00
_cell_angle_beta 90.00
_cell_angle_gamma 120.00
loop_
_atom_site_label
_atom_site_fract_x
_atom_site_fract_y
_atom_site_fract_z
_atom_site_occupancy
Cr1 0.0000 0.0000 0.0000 1
Cu1 0.0000 0.0000 0.7453 1
Pt1 0.0000 0.0000 0.2550 1
Pt2 0.0000 0.0000 0.4945 1
```

***

Q: Which of these has the lowest energy of formation from the pure elements?
A: number 3